(1)
# NaYVCl6 | Alexandria via LeMat-Bulk | PBE-GGA | relaxed
# Calculated total energy, Ry/atom: -0.3606
# E_form (uncorrected), meV per atom: -1797
# Total magnetic moment, μB per atom: 0.333
data_NaYVCl6
_chemical_formula_sum 'Na2 Y2 V2 Cl12'
_cell_length_a 6.5637
_cell_length_b 6.5637
_cell_length_c 12.7178
_cell_angle_alpha 90.00
_cell_angle_beta 90.00
_cell_angle_gamma 120.00
_symmetry_space_group_name_H-M 'P -3 1 c'
_symmetry_Int_Tables_number 163
_symmetry_space_group_name_Hall '-P 3 2c'
loop_
_atom_site_label
_atom_site_fract_x
_atom_site_fract_y
_atom_site_fract_z
Na1 0.0000 0.0000 0.0000
Y1 0.3333 0.6667 0.2500
V1 0.3333 0.6667 0.7500
Cl1 0.0192 0.3640 0.6351



(2)
# KRb3CdCl6 | Alexandria via LeMat-Bulk | PBE-GGA | relaxed
# Calculated total energy, Ry/atom: -0.2351
# E_form (uncorrected), meV per atom: -1745
# Total magnetic moment, μB per atom: 0.000
data_KRb3CdCl6
_chemical_formula_sum 'K6 Rb18 Cd6 Cl36'
_cell_length_a 12.7072
_cell_length_b 12.7072
_cell_length_c 15.3367
_cell_angle_alpha 90.00
_cell_angle_beta 90.00
_cell_angle_gamma 120.00
_symmetry_space_group_name_H-M 'R -3 c'
_symmetry_Int_Tables_number 167
_symmetry_space_group_name_Hall '-R 3 2"c'
loop_
_atom_site_label
_atom_site_fract_x
_atom_site_fract_y
_atom_site_fract_z
K1 0.0000 0.0000 0.2500
Rb1 0.0000 0.3759 0.2500
Cd1 0.0000 0.0000 0.0000
Cl1 0.0286 0.1838 0.3973



(3)
# LaCd2Fe | Alexandria via LeMat-Bulk | PBE-GGA | relaxed
# Calculated total energy, Ry/atom: -0.2573
# Energy of formation from the pure elements, eV per atom: 0.3043
# Total magnetic moment, μB per atom: 0.490
data_LaCd2Fe
_chemical_formula_sum 'La3 Cd6 Fe3'
_cell_length_a 3.1490
_cell_length_b 3.1490
_cell_length_c 30.9526
_cell_angle_alpha 90.00
_cell_angle_beta 90.00
_cell_angle_gamma 120.00
_symmetry_space_group_name_H-M 'R -3 m'
_symmetry_Int_Tables_number 166
_symmetry_space_group_name_Hall '-R 3 2"'
loop_
_atom_site_label
_atom_site_fract_x
_atom_site_fract_y
_atom_site_fract_z
La1 0.0000 0.0000 0.0000
Cd1 0.0000 0.0000 0.2368
Fe1 0.0000 0.0000 0.5000



(4)
# CaY2SeI | Alexandria via LeMat-Bulk | PBE-GGA | relaxed
# Calculated total energy, Ry/atom: -0.2840
# E_form (uncorrected), meV per atom: 129
# Total magnetic moment, μB per atom: 0.000
data_CaY2SeI
_chemical_formula_sum 'Ca1 Y2 Se1 I1'
_cell_length_a 5.6091
_cell_length_b 5.6091
_cell_length_c 5.7124
_cell_angle_alpha 90.00
_cell_angle_beta 90.00
_cell_angle_gamma 90.00
_symmetry_space_group_name_H-M 'P 4/m m m'
_symmetry_Int_Tables_number 123
_symmetry_space_group_name_Hall '-P 4 2'
loop_
_atom_site_label
_atom_site_fract_x
_atom_site_fract_y
_atom_site_fract_z
Ca1 0.0000 0.0000 0.0000
Y1 0.0000 0.5000 0.5000
Se1 0.5000 0.5000 0.0000
I1 0.0000 0.0000 0.5000



(5)
# NaOs3Pd | Alexandria via LeMat-Bulk | PBE-GGA | relaxed
# Calculated total energy, Ry/atom: -0.4053
# Polymorph energy (0 for the lowest one), eV/f.u.: 0.00
# Energy of formation from the pure elements, eV per atom: 2.5255
# Total magnetic moment, μB per atom: 1.240
data_NaOs3Pd
_chemical_formula_sum 'Na1 Os3 Pd1'
_cell_length_a 4.8415
_cell_length_b 4.8415
_cell_length_c 4.8415
_cell_angle_alpha 90.00
_cell_angle_beta 90.00
_cell_angle_gamma 90.00
_symmetry_space_group_name_H-M 'P m -3 m'
_symmetry_Int_Tables_number 221
_symmetry_space_group_name_Hall '-P 4 2 3'
loop_
_atom_site_label
_atom_site_fract_x
_atom_site_fract_y
_atom_site_fract_z
Na1 0.0000 0.0000 0.0000
Os1 0.0000 0.5000 0.5000
Pd1 0.5000 0.5000 0.5000



(6)
# Cu3ClO | Alexandria via LeMat-Bulk | PBE-GGA | relaxed
# Calculated total energy, Ry/atom: -0.2888
# Polymorph energy (0 for the lowest one), eV/f.u.: 0.00
# E_form (uncorrected), meV per atom: -111
# Total magnetic moment, μB per atom: 0.000
data_Cu3ClO
_chemical_formula_sum 'Cu3 Cl1 O1'
_cell_length_a 4.0695
_cell_length_b 4.0695
_cell_length_c 4.0695
_cell_angle_alpha 90.00
_cell_angle_beta 90.00
_cell_angle_gamma 90.00
_symmetry_space_group_name_H-M 'P m -3 m'
_symmetry_Int_Tables_number 221
_symmetry_space_group_name_Hall '-P 4 2 3'
loop_
_atom_site_label
_atom_site_fract_x
_atom_site_fract_y
_atom_site_fract_z
Cu1 0.0000 0.0000 0.5000
Cl1 0.5000 0.5000 0.5000
O1 0.0000 0.0000 0.0000



(7)
# AlAgSN2 | Alexandria via LeMat-Bulk | PBE-GGA | relaxed
# Calculated total energy, Ry/atom: -0.3489
# Polymorph energy (0 for the lowest one), eV/f.u.: 0.00
# E_form (uncorrected), meV per atom: 728
# Total magnetic moment, μB per atom: 0.538
data_AlAgSN2
_chemical_formula_sum 'Al1 Ag1 S1 N2'
_cell_length_a 3.7632
_cell_length_b 3.7632
_cell_length_c 5.2005
_cell_angle_alpha 90.00
_cell_angle_beta 90.00
_cell_angle_gamma 90.00
_symmetry_space_group_name_H-M 'P 4/m m m'
_symmetry_Int_Tables_number 123
_symmetry_space_group_name_Hall '-P 4 2'
loop_
_atom_site_label
_atom_site_fract_x
_atom_site_fract_y
_atom_site_fract_z
Al1 0.0000 0.0000 0.0000
Ag1 0.5000 0.5000 0.5000
S1 0.0000 0.0000 0.5000
N1 0.0000 0.5000 0.0000



(8)
# LaYSc2Tc | Alexandria via LeMat-Bulk | PBE-GGA | relaxed
# Calculated total energy, Ry/atom: -0.5027
# Polymorph energy (0 for the lowest one), eV/f.u.: 0.00
# Energy of formation from the pure elements, eV per atom: 0.0451
# Total magnetic moment, μB per atom: 0.000
data_LaYSc2Tc
_chemical_formula_sum 'La1 Y1 Sc2 Tc1'
_cell_length_a 5.1495
_cell_length_b 5.1495
_cell_length_c 5.3863
_cell_angle_alpha 90.00
_cell_angle_beta 90.00
_cell_angle_gamma 90.00
_symmetry_space_group_name_H-M 'P 4/m m m'
_symmetry_Int_Tables_number 123
_symmetry_space_group_name_Hall '-P 4 2'
loop_
_atom_site_label
_atom_site_fract_x
_atom_site_fract_y
_atom_site_fract_z
La1 0.0000 0.0000 0.0000
Y1 0.5000 0.5000 0.0000
Sc1 0.0000 0.5000 0.5000
Tc1 0.5000 0.5000 0.5000